A geometry-optimized TiFeReTc structure, computed with GGA-PBE.

Cell: 4.3115 4.3115 4.3115 Å, 60.00 60.00 60.00°
Positions (direct):
Ti1 0.0000 0.0000 0.0000
Fe1 0.7500 0.7500 0.7500
Re1 0.5000 0.5000 0.5000
Tc1 0.2500 0.2500 0.2500

## Properties
- density of states at the Fermi level (states/eV/f.u.) = 3.62
- volume (Å³ per cell) = 56.7
- uncorrected energy (Ry per atom) = -0.734

---

A geometry-optimized Th2CdTc structure, computed with GGA-PBE.

Cell: 3.4725 3.4725 8.5953 Å, 90.00 90.00 90.00°
Positions (direct):
Th1 0.0000 0.0000 0.2083
Th2 0.0000 0.0000 0.7917
Cd1 0.5000 0.5000 0.5000
Tc1 0.5000 0.5000 0.0000

## Properties
- density of states at the Fermi level (states/eV/f.u.) = 3.41
- volume (Å³ per cell) = 103.6
- uncorrected energy (Ry per atom) = -0.490

---

A geometry-optimized Cu2MoPt structure, computed with GGA-PBE.

Cell: 8.8097 8.8097 8.8097 Å, 17.92 17.92 17.92°
Positions (direct):
Cu1 0.0000 0.0000 0.0000
Cu2 0.2573 0.2573 0.2573
Mo1 0.5056 0.5056 0.5056
Pt1 0.7515 0.7515 0.7515

## Properties
- density of states at the Fermi level (states/eV/f.u.) = 1.50
- volume (Å³ per cell) = 56.5
- uncorrected energy (Ry per atom) = -0.459